Entry 1:
Ba6HgRhAu after structural relaxation, computed with PBE-GGA.

Computed properties:
space-group type = P-31c
E = -2.8631 eV/atom

Cell lengths 8.1541, 8.1541, 15.3244 Å; angles 90.00, 90.00, 120.00 degrees
Closest atoms and distances in Å follow each position.
Element x y z (fractional)
Rh (0.6667, 0.3333, 0.2500)  6 Ba 3.11
Ba (0.3570, 0.3386, 0.3660)  1 Rh 3.11, 1 Au 3.30
Ba (0.3386, 0.9816, 0.6340)  1 Rh 3.11, 1 Au 3.30
Ba (0.9816, 0.3386, 0.1340)  1 Rh 3.11, 1 Au 3.30
Au (0.3333, 0.6667, 0.2500)  6 Ba 3.30
Ba (0.3570, 0.0184, 0.1340)  1 Rh 3.11, 1 Au 3.30
Hg (0.0000, 0.0000, 0.0000)  6 Ba 3.50
Ba (0.6430, 0.6614, 0.6340)  1 Rh 3.11, 1 Au 3.30
Rh (0.3333, 0.6667, 0.7500)  6 Ba 3.11
Ba (0.9816, 0.6430, 0.3660)  1 Rh 3.11, 1 Au 3.30
Ba (0.0184, 0.3570, 0.6340)  1 Rh 3.11, 1 Au 3.30
Au (0.6667, 0.3333, 0.7500)  6 Ba 3.30
Ba (0.6614, 0.0184, 0.3660)  1 Rh 3.11, 1 Au 3.30
Hg (0.0000, 0.0000, 0.5000)  6 Ba 3.50
Ba (0.6430, 0.9816, 0.8660)  1 Rh 3.11, 1 Au 3.30
Ba (0.0184, 0.6614, 0.8660)  1 Rh 3.11, 1 Au 3.30
Ba (0.6614, 0.6430, 0.1340)  1 Rh 3.11, 1 Au 3.30
Ba (0.3386, 0.3570, 0.8660)  1 Rh 3.11, 1 Au 3.30


Entry 2:
La3PrRh2 after structural relaxation, computed with PBE-GGA.

Computed properties:
offset from the most stable computed form = 58.4 meV per atom
space-group type = Ibam

Cell lengths 7.0434, 7.4004, 8.6875 Å; angles 115.21, 113.91, 90.00 degrees
Closest atoms and distances in Å follow each position.
Element x y z (fractional)
La (0.5000, 0.2500, 0.0000)  4 Rh 3.05
Rh (0.4318, 0.6383, 0.2767)  1 Pr 2.84, 6 La 2.98-3.07
Pr (0.0000, 0.5000, 0.0000)  2 Rh 2.84
La (0.7680, 0.0180, 0.5361)  4 Rh 2.98-3.07
Rh (0.5682, 0.3617, 0.7233)  1 Pr 2.84, 6 La 2.98-3.07
Pr (0.0000, 0.0000, 0.0000)  2 Rh 2.84
La (0.2320, 0.9820, 0.4639)  4 Rh 2.98-3.07
La (0.5000, 0.7500, 0.0000)  4 Rh 3.05
Rh (0.8449, 0.1383, 0.2767)  1 Pr 2.84, 6 La 2.98-3.07
La (0.2320, 0.4820, 0.4639)  4 Rh 2.98-3.07
Rh (0.1551, 0.8617, 0.7233)  1 Pr 2.84, 6 La 2.98-3.07
La (0.7680, 0.5180, 0.5361)  4 Rh 2.98-3.07